Material: SrTe3Se
Method: DFT, PBE
State: relaxed

For the energy above the most stable polymorph in this dataset, the calculation gives 901 meV/atom. The calculation puts the formation energy (no corrections) at 0.511 eV per atom. Its density is 3.63 g/cm3.

The structure belongs to space group Pm-3m (No. 221); the cell edges are 6.309, 6.309 and 6.309 Å and the angles 90.00°, 90.00° and 90.00°. The inequivalent atoms are Sr at (0.000, 0.000, 0.000), Te at (0.000, 0.000, 0.500) and Se at (0.500, 0.500, 0.500).